1.
{
  "formula": "Mg2VAsO6",
  "functional": "GGA+U",
  "state": "relaxed",
  "cell": [[5.275, 0.000, 0.000], [0.000, 5.275, 0.000], [0.000, 0.000, 4.714]],
  "species": ["Mg", "Mg", "V", "As", "O", "O", "O", "O", "O", "O"],
  "fractional_positions": [[0.000, 0.500, 0.000], [0.500, 0.000, 0.000], [0.000, 0.000, 0.662], [0.500, 0.500, 0.680], [0.000, 0.000, 0.302], [0.249, 0.249, 0.818], [0.249, 0.751, 0.818], [0.500, 0.500, 0.313], [0.751, 0.249, 0.818], [0.751, 0.751, 0.818]],
  "crystal_system": "tetragonal",
  "dos_ef_per_ev_fu": 2.14,
  "mass_density_g_cm3": 3.425
}

=====

2.
{
  "formula": "MgV2AsO",
  "functional": "GGA+U",
  "state": "relaxed",
  "cell": [[3.918, 0.000, 0.000], [0.000, 3.918, 0.000], [0.000, 0.000, 5.220]],
  "species": ["Mg", "V", "V", "As", "O"],
  "fractional_positions": [[0.000, 0.000, 0.000], [0.000, 0.500, 0.500], [0.500, 0.000, 0.500], [0.500, 0.500, 0.000], [0.500, 0.500, 0.500]],
  "crystal_system": "tetragonal",
  "dos_ef_per_ev_fu": 4.01,
  "mass_density_g_cm3": 4.499
}

=====

3.
{
  "formula": "MgVAsO4",
  "functional": "GGA+U",
  "state": "relaxed",
  "cell": [[-2.918, 3.410, 4.246], [2.918, -3.410, 4.246], [2.918, 3.410, -4.246]],
  "species": ["Mg", "Mg", "V", "V", "As", "As", "O", "O", "O", "O", "O", "O", "O", "O"],
  "fractional_positions": [[0.000, 0.000, 0.000], [0.500, 0.000, 0.500], [0.500, 0.000, 0.000], [0.500, 0.500, 0.500], [0.113, 0.363, 0.750], [0.887, 0.637, 0.250], [0.247, 0.251, 0.505], [0.247, 0.742, 0.995], [0.285, 0.234, 0.051], [0.317, 0.766, 0.551], [0.683, 0.234, 0.449], [0.715, 0.766, 0.949], [0.753, 0.258, 0.005], [0.753, 0.749, 0.495]],
  "crystal_system": "orthorhombic",
  "mass_density_g_cm3": 4.208
}

=====

It is found that the electronic total energy values, taken in the order of the records, are -6.292; -5.050; -6.663 eV per atom.
It is found that the magnetization values, taken in the order of the records, are 0.135; 0.073; 0.286 μB per atom.
It is found that the volume values, taken in the order of the records, are 131; 80; 169 Å³ per cell.